(1)
The following is a DFT calculation (PBE) of Rb2Bi4Pt3 after structural relaxation.

Geometry as POSCAR:
```
Rb2Bi4Pt3
1.0
-1.8647 -5.3015 3.6589
2.5644 -0.8815 -6.1334
6.2413 2.7128 4.0474
Bi Rb Pt
4 2 3
Direct
0.6938 0.0309 0.7246 Bi
0.0309 0.6938 0.7246 Bi
0.3062 0.9691 0.2754 Bi
0.9691 0.3062 0.2754 Bi
0.3756 0.3756 0.7511 Rb
0.6244 0.6244 0.2489 Rb
0.5000 0.0000 0.0000 Pt
0.0000 0.5000 0.0000 Pt
0.0000 0.0000 0.0000 Pt
```

---

(2)
The following is a DFT calculation (PBE) of Rb2Bi2Pt after structural relaxation.

Geometry as POSCAR:
```
Rb2Bi2Pt
1.0
4.3883 0.0000 1.2944
1.4320 6.3314 3.2310
0.2642 0.9000 7.1900
Rb Bi Pt
2 2 1
Direct
0.2082 0.2918 0.2918 Rb
0.7918 0.7082 0.7082 Rb
0.5000 0.2347 0.7653 Bi
0.5000 0.7653 0.2347 Bi
0.0000 0.0000 0.0000 Pt
```

---

(3)
The following is a DFT calculation (PBE) of RbBi4Pt4 after structural relaxation.

Geometry as POSCAR:
```
RbBi4Pt4
1.0
5.6017 0.0000 0.0000
0.0000 9.5090 0.0000
0.0000 0.0000 9.5090
Pt Rb Bi
8 2 8
Direct
0.4059 0.6679 0.8313 Pt
0.0941 0.8321 0.6687 Pt
0.4059 0.3321 0.1687 Pt
0.5941 0.1687 0.6679 Pt
0.5941 0.8313 0.3321 Pt
0.9059 0.6687 0.1679 Pt
0.9059 0.3313 0.8321 Pt
0.0941 0.1679 0.3313 Pt
0.0000 0.0000 0.0000 Rb
0.5000 0.5000 0.5000 Rb
0.5967 0.1264 0.3650 Bi
0.4033 0.3650 0.8736 Bi
0.4033 0.6350 0.1264 Bi
0.0967 0.1350 0.6264 Bi
0.0967 0.8650 0.3736 Bi
0.9033 0.3736 0.1350 Bi
0.9033 0.6264 0.8650 Bi
0.5967 0.8736 0.6350 Bi
```

---

(4)
The following is a DFT calculation (PBE) of RbBiPt after structural relaxation.

Geometry as POSCAR:
```
RbBiPt
1.0
-3.9414 -1.9440 3.0177
1.7401 -4.5065 -0.6303
5.0258 1.0560 6.3246
Pt Bi Rb
2 2 2
Direct
0.8409 0.7500 0.0016 Pt
0.1591 0.2500 0.9984 Pt
0.3275 0.7500 0.8767 Bi
0.6725 0.2500 0.1233 Bi
0.2389 0.7500 0.3346 Rb
0.7611 0.2500 0.6654 Rb
```

Values from the calculation:
Distance to the lowest polymorph of the same formula = 19 meV per atom

---

(5)
The following is a DFT calculation (PBE) of RbBiPt after structural relaxation.

Geometry as POSCAR:
```
RbBiPt
1.0
-0.7322 -1.7729 3.3285
3.7149 -0.9293 0.3230
2.6168 4.2961 4.8384
Bi Rb Pt
1 1 1
Direct
0.2087 0.7456 0.1153 Bi
0.9102 0.4668 0.6670 Rb
0.6514 0.1831 0.2414 Pt
```

Values from the calculation:
Distance to the lowest polymorph of the same formula = 110 meV per atom

---

(6)
The following is a DFT calculation (PBE) of Rb3Bi4Pt2 after structural relaxation.

Geometry as POSCAR:
```
Rb3Bi4Pt2
1.0
-0.5735 -4.4028 0.3291
1.3222 2.5998 6.9692
-10.4607 1.3135 -0.6564
Rb Bi Pt
3 4 2
Direct
0.6272 0.2544 0.4024 Rb
0.3728 0.7456 0.5976 Rb
0.0000 0.0000 0.0000 Rb
0.2846 0.5693 0.9018 Bi
0.7154 0.4307 0.0982 Bi
0.9091 0.8183 0.3219 Bi
0.0909 0.1817 0.6781 Bi
0.6685 0.3371 0.8253 Pt
0.3315 0.6629 0.1747 Pt
```

---

(7)
The following is a DFT calculation (PBE) of RbBi3Pt3 after structural relaxation.

Geometry as POSCAR:
```
RbBi3Pt3
1.0
-6.1445 -4.0694 -2.3926
-3.2804 -5.1978 4.7182
-8.4834 3.1313 3.9139
Pt Bi Rb
6 6 2
Direct
0.4700 0.7574 0.6063 Pt
0.8337 0.5300 0.3937 Pt
0.2426 0.8337 0.3937 Pt
0.1663 0.4700 0.6063 Pt
0.7574 0.1663 0.6063 Pt
0.5300 0.2426 0.3937 Pt
0.4253 0.0667 0.6992 Bi
0.5747 0.9333 0.3008 Bi
0.1912 0.5747 0.3008 Bi
0.8088 0.4253 0.6992 Bi
0.0667 0.8088 0.6992 Bi
0.9333 0.1912 0.3008 Bi
0.3423 0.3423 0.9730 Rb
0.6577 0.6577 0.0270 Rb
```

---

(8)
The following is a DFT calculation (PBE) of RbBiPt2 after structural relaxation.

Geometry as POSCAR:
```
RbBiPt2
1.0
8.1332 0.0000 0.0000
0.0000 8.1332 0.0000
4.0666 4.0666 4.0147
Rb Pt Bi
2 4 2
Direct
0.2500 0.7500 0.5000 Rb
0.5000 0.5000 0.0000 Rb
0.3750 0.2903 0.7500 Pt
0.0403 0.6250 0.2500 Pt
0.8750 0.9597 0.7500 Pt
0.7097 0.1250 0.2500 Pt
0.7500 0.2500 0.5000 Bi
0.0000 0.0000 0.0000 Bi
```

---

(9)
The following is a DFT calculation (PBE) of RbBiPt4 after structural relaxation.

Geometry as POSCAR:
```
RbBiPt4
1.0
-3.6733 0.1043 -4.1652
0.5295 -3.5262 -4.2589
-3.6163 -4.1704 -0.6188
Pt Rb Bi
4 1 1
Direct
0.6256 0.6256 0.1232 Pt
0.6256 0.1232 0.6256 Pt
0.1232 0.6256 0.6256 Pt
0.6256 0.6256 0.6256 Pt
0.2500 0.2500 0.2500 Rb
0.0000 0.0000 0.0000 Bi
```

---

(10)
The following is a DFT calculation (PBE) of Rb2Bi2Pt after structural relaxation.

Geometry as POSCAR:
```
Rb2Bi2Pt
1.0
-2.6441 3.4813 2.4783
-4.1318 -2.8267 -0.4375
7.4606 -8.7937 15.2174
Bi Pt Rb
4 2 4
Direct
0.2771 0.2771 0.5543 Bi
0.4729 0.9729 0.9457 Bi
0.7229 0.7229 0.4457 Bi
0.0271 0.5271 0.0543 Bi
0.2500 0.7500 0.5000 Pt
0.5000 0.5000 0.0000 Pt
0.8220 0.8220 0.6441 Rb
0.9280 0.4280 0.8559 Rb
0.1780 0.1780 0.3559 Rb
0.5720 0.0720 0.1441 Rb
```

---

(11)
The following is a DFT calculation (PBE) of RbBi2Pt after structural relaxation.

Geometry as POSCAR:
```
RbBi2Pt
1.0
0.0000 3.7862 3.7862
3.7862 0.0000 3.7862
3.7862 3.7862 0.0000
Pt Bi Rb
1 2 1
Direct
0.5000 0.5000 0.5000 Pt
0.7500 0.7500 0.7500 Bi
0.2500 0.2500 0.2500 Bi
0.0000 0.0000 0.0000 Rb
```

Values from the calculation:
Distance to the lowest polymorph of the same formula = 494 meV per atom

---

(12)
The following is a DFT calculation (PBE) of RbBi2Pt after structural relaxation.

Geometry as POSCAR:
```
RbBi2Pt
1.0
-3.9934 -1.8206 -0.5159
-1.5895 -2.7478 3.0743
-5.2160 4.7415 4.7171
Bi Rb Pt
2 1 1
Direct
0.0504 0.0504 0.8489 Bi
0.2838 0.2838 0.1485 Bi
0.4982 0.4982 0.5053 Rb
0.6676 0.6676 0.9973 Pt
```

Values from the calculation:
Distance to the lowest polymorph of the same formula = 0 meV per atom

---

(13)
The following is a DFT calculation (PBE) of RbBi2Pt after structural relaxation.

Geometry as POSCAR:
```
RbBi2Pt
1.0
-2.6654 1.9966 2.9093
-2.4097 -2.4170 2.8118
4.3119 0.0897 7.2496
Rb Bi Pt
1 2 1
Direct
0.5000 0.5000 0.5000 Rb
0.2832 0.2832 0.1504 Bi
0.7168 0.7168 0.8496 Bi
0.0000 0.0000 0.0000 Pt
```

Values from the calculation:
Distance to the lowest polymorph of the same formula = 4 meV per atom

---

(14)
The following is a DFT calculation (PBE) of Rb2Bi5Pt4 after structural relaxation.

Geometry as POSCAR:
```
Rb2Bi5Pt4
1.0
6.8689 0.0000 0.0000
3.4345 6.5597 -2.1795
3.4345 -0.7655 8.1562
Bi Pt Rb
5 4 2
Direct
0.3295 0.7789 0.0483 Bi
0.1567 0.2211 0.9517 Bi
0.0000 0.5000 0.5000 Bi
0.8433 0.7789 0.0483 Bi
0.6705 0.2211 0.9517 Bi
0.8515 0.4724 0.8246 Pt
0.3364 0.1183 0.2090 Pt
0.1485 0.5276 0.1754 Pt
0.6636 0.8817 0.7910 Pt
0.6582 0.1846 0.4990 Rb
0.3418 0.8154 0.5010 Rb
```

---

(15)
The following is a DFT calculation (PBE) of Rb5Bi4Pt2 after structural relaxation.

Geometry as POSCAR:
```
Rb5Bi4Pt2
1.0
-0.6408 2.0340 -3.2351
-2.5963 -8.9688 -5.1247
-8.6140 4.7970 7.0428
Rb Bi Pt
5 4 2
Direct
0.1624 0.9440 0.3248 Rb
0.8376 0.0560 0.6752 Rb
0.1624 0.3802 0.3247 Rb
0.8376 0.6198 0.6753 Rb
0.5000 0.0000 0.0000 Rb
0.6955 0.6952 0.3910 Bi
0.3045 0.3048 0.6090 Bi
0.0000 0.6519 0.0000 Bi
0.0000 0.3481 0.0000 Bi
0.4339 0.4339 0.8677 Pt
0.5661 0.5661 0.1323 Pt
```

---

(16)
The following is a DFT calculation (PBE) of RbSnBiPt2 after structural relaxation.

Geometry as POSCAR:
```
RbSnBiPt2
1.0
-3.1089 0.2732 -3.4812
4.2790 -3.5617 -4.1009
-5.6703 -7.1919 4.4996
Pt Bi Sn Rb
4 2 2 2
Direct
0.7500 0.5080 0.6749 Pt
0.2500 0.5350 0.8369 Pt
0.7500 0.4650 0.1631 Pt
0.2500 0.4920 0.3251 Pt
0.2500 0.3425 0.5585 Bi
0.7500 0.6575 0.4415 Bi
0.2500 0.3469 0.0433 Sn
0.7500 0.6531 0.9567 Sn
0.2500 0.9475 0.2226 Rb
0.7500 0.0525 0.7774 Rb
```

---

(17)
The following is a DFT calculation (PBE) of RbSn2BiPt after structural relaxation.

Geometry as POSCAR:
```
RbSn2BiPt
1.0
-3.6623 3.1002 -2.1097
1.1179 -2.3164 -5.3446
-3.6174 -3.6977 0.8460
Rb Sn Bi Pt
1 2 1 1
Direct
0.0000 0.5000 0.0000 Rb
0.5000 0.0000 0.0000 Sn
0.0000 0.0000 0.5000 Sn
0.5000 0.5000 0.5000 Bi
0.0000 0.0000 0.0000 Pt
```

---

(18)
The following is a DFT calculation (PBE) of RbSrBiPt2 after structural relaxation.

Geometry as POSCAR:
```
RbSrBiPt2
1.0
5.3177 0.0000 0.0000
0.0000 5.6012 0.0000
0.0000 0.0000 5.3177
Pt Bi Rb Sr
2 1 1 1
Direct
0.0000 0.0000 0.5000 Pt
0.5000 0.0000 0.0000 Pt
0.5000 0.5000 0.5000 Bi
0.0000 0.0000 0.0000 Rb
0.0000 0.5000 0.0000 Sr
```

---

(19)
The following is a DFT calculation (PBE) of RbTc2BiPt after structural relaxation.

Geometry as POSCAR:
```
RbTc2BiPt
1.0
4.8986 0.0000 0.0000
0.0000 5.2542 0.0000
0.0000 0.0000 4.8986
Rb Tc Pt Bi
1 2 1 1
Direct
0.0000 0.0000 0.0000 Rb
0.5000 0.0000 0.0000 Tc
0.0000 0.0000 0.5000 Tc
0.0000 0.5000 0.0000 Pt
0.5000 0.5000 0.5000 Bi
```

---

(20)
The following is a DFT calculation (PBE) of Rb2TlBi2Pt after structural relaxation.

Geometry as POSCAR:
```
Rb2TlBi2Pt
1.0
7.4797 0.0000 0.0000
0.0000 7.8517 0.0000
-3.7399 -3.9258 8.0484
Pt Bi Rb Tl
2 4 4 2
Direct
0.7500 0.5000 0.0000 Pt
0.2500 0.5000 0.0000 Pt
0.0843 0.7773 0.1685 Bi
0.9157 0.2227 0.8315 Bi
0.4157 0.6087 0.8315 Bi
0.5843 0.3913 0.1685 Bi
0.8340 0.5909 0.6681 Rb
0.6660 0.9229 0.3319 Rb
0.1660 0.4091 0.3319 Rb
0.3340 0.0771 0.6681 Rb
0.7500 0.0000 0.0000 Tl
0.2500 0.0000 0.0000 Tl
```

---

What did we get for E_form? Answer: -0.267, -0.306, -0.235, -0.321, -0.231, -0.326, -0.174, 0.245, -0.027, -0.181, 0.165, -0.329, -0.325, -0.163, -0.169, -0.330, 0.003, 1.116, 2.648, -0.240 eV per atom, in the order shown.